Compound: RbSbF5
Source: the Alexandria database
Functional: PBE-GGA
Structure: optimized geometry Values from VASP.

Results
Its space group is No. 1.

Structure (Quantum ESPRESSO input):
```
&SYSTEM
  ibrav = 0, nat = 14, ntyp = 3
/
ATOMIC_SPECIES
F 19.00 F.upf
Rb 85.47 Rb.upf
Sb 121.76 Sb.upf
CELL_PARAMETERS angstrom
5.6052 0.5528 -1.5145
-1.9146 5.5768 -0.8549
-0.4088 -0.7631 9.7792
ATOMIC_POSITIONS crystal
F 0.7457 0.1919 0.9871
Rb 0.7617 0.4887 0.2605
F 0.1008 0.1471 0.8610
Rb 0.2032 0.5149 0.7139
F 0.4887 0.1663 0.6451
Sb 0.4494 0.9917 0.4449
F 0.2295 0.8280 0.0119
F 0.6921 0.8056 0.4912
F 0.7663 0.2483 0.4731
F 0.8798 0.8774 0.1378
Sb 0.9858 0.0093 0.9960
F 0.2243 0.7141 0.4800
F 0.2248 0.2662 0.1610
F 0.7479 0.7506 0.8364
```

***

Compound: RbSb2F8
Source: the Alexandria database
Functional: PBE-GGA
Structure: optimized geometry Values from VASP.

Results
Its space group is No. 12.

Structure (Quantum ESPRESSO input):
```
&SYSTEM
  ibrav = 0, nat = 11, ntyp = 3
/
ATOMIC_SPECIES
F 19.00 F.upf
Sb 121.76 Sb.upf
Rb 85.47 Rb.upf
CELL_PARAMETERS angstrom
-2.4433 4.1954 1.3603
-3.3659 0.0288 -5.4932
-5.6228 -3.1371 0.2174
ATOMIC_POSITIONS crystal
F 0.4314 0.0558 0.6586
Sb 0.4676 0.3288 0.3288
F 0.5686 0.3414 0.9442
F 0.7425 0.5072 0.5072
F 0.1143 0.2577 0.2577
F 0.8857 0.7423 0.7423
F 0.4314 0.6586 0.0558
F 0.2575 0.4928 0.4928
Rb 0.0000 0.0000 0.0000
Sb 0.5324 0.6712 0.6712
F 0.5686 0.9442 0.3414
```

***

Compound: Rb2SbF
Source: the Alexandria database
Functional: PBE-GGA
Structure: optimized geometry Values from VASP.

Results
The calculation puts the offset from the most stable computed form at 0.000 eV per atom. Its space group is No. 122.

Structure (Quantum ESPRESSO input):
```
&SYSTEM
  ibrav = 0, nat = 8, ntyp = 3
/
ATOMIC_SPECIES
Rb 85.47 Rb.upf
F 19.00 F.upf
Sb 121.76 Sb.upf
CELL_PARAMETERS angstrom
8.1903 0.0000 0.0000
0.0000 8.1903 0.0000
4.0952 4.0952 4.6856
ATOMIC_POSITIONS crystal
Rb 0.8750 0.7667 0.7500
F 0.2500 0.7500 0.5000
Sb 0.7500 0.2500 0.5000
Rb 0.2333 0.6250 0.2500
Sb 0.0000 0.0000 0.0000
Rb 0.5167 0.1250 0.2500
F 0.5000 0.5000 0.0000
Rb 0.3750 0.4833 0.7500
```

***

Compound: Rb2SbF5
Source: the Alexandria database
Functional: PBE-GGA
Structure: optimized geometry Values from VASP.

Results
Its space group is No. 107.

Structure (Quantum ESPRESSO input):
```
&SYSTEM
  ibrav = 0, nat = 8, ntyp = 3
/
ATOMIC_SPECIES
F 19.00 F.upf
Rb 85.47 Rb.upf
Sb 121.76 Sb.upf
CELL_PARAMETERS angstrom
-5.1900 1.8839 3.6544
2.4203 -3.3567 5.1686
3.4005 4.0034 -3.2350
ATOMIC_POSITIONS crystal
F 0.2104 0.2104 0.9764
Rb 0.7563 0.2563 0.5125
F 0.7660 0.2104 0.9764
F 0.2104 0.7660 0.9764
F 0.7834 0.7834 0.5670
Rb 0.2563 0.7563 0.5125
Sb 0.0282 0.0282 0.0563
F 0.7660 0.7660 0.9764
```

***

Compound: Rb5SbF
Source: the Alexandria database
Functional: PBE-GGA
Structure: optimized geometry Values from VASP.

Results
Its space group is No. 15.

Structure (Quantum ESPRESSO input):
```
&SYSTEM
  ibrav = 0, nat = 14, ntyp = 3
/
ATOMIC_SPECIES
F 19.00 F.upf
Rb 85.47 Rb.upf
Sb 121.76 Sb.upf
CELL_PARAMETERS angstrom
8.7163 0.3506 -0.0369
3.0978 8.1548 -0.0369
4.1896 3.0162 10.7610
ATOMIC_POSITIONS crystal
F 0.0000 0.0000 0.0000
Rb 0.8239 0.7162 0.1201
Sb 0.5765 0.4235 0.2500
Rb 0.1761 0.2838 0.8799
Rb 0.2681 0.6682 0.4769
Rb 0.7162 0.8239 0.6201
Rb 0.9459 0.0541 0.2500
Rb 0.2838 0.1761 0.3799
Rb 0.6682 0.2681 0.9769
F 0.0000 0.0000 0.5000
Rb 0.3318 0.7319 0.0231
Sb 0.4235 0.5765 0.7500
Rb 0.7319 0.3318 0.5231
Rb 0.0541 0.9459 0.7500
```

***

Compound: Rb2SbF4
Source: the Alexandria database
Functional: PBE-GGA
Structure: optimized geometry Values from VASP.

Results
Its space group is No. 139.

Structure (Quantum ESPRESSO input):
```
&SYSTEM
  ibrav = 0, nat = 7, ntyp = 3
/
ATOMIC_SPECIES
Rb 85.47 Rb.upf
F 19.00 F.upf
Sb 121.76 Sb.upf
CELL_PARAMETERS angstrom
-4.6034 1.3118 -1.0668
-1.6330 -4.2517 1.8185
-3.7318 1.4160 6.5724
ATOMIC_POSITIONS crystal
Rb 0.6391 0.6391 0.7218
F 0.8370 0.8370 0.3260
F 0.1630 0.1630 0.6740
Rb 0.3609 0.3609 0.2782
Sb 0.0000 0.0000 0.0000
F 0.0000 0.5000 0.0000
F 0.5000 0.0000 0.0000
```

***

Compound: Rb2SbF6
Source: the Alexandria database
Functional: PBE-GGA
Structure: optimized geometry Values from VASP.

Results
Its space group is No. 225.

Structure (Quantum ESPRESSO input):
```
&SYSTEM
  ibrav = 0, nat = 9, ntyp = 3
/
ATOMIC_SPECIES
F 19.00 F.upf
Rb 85.47 Rb.upf
Sb 121.76 Sb.upf
CELL_PARAMETERS angstrom
6.3775 0.0000 0.0000
3.1888 5.5231 0.0000
3.1888 1.8410 5.2072
ATOMIC_POSITIONS crystal
F 0.7723 0.2277 0.2277
F 0.7723 0.2277 0.7723
Rb 0.2500 0.2500 0.2500
F 0.2277 0.2277 0.7723
F 0.2277 0.7723 0.7723
F 0.2277 0.7723 0.2277
Sb 0.0000 0.0000 0.0000
F 0.7723 0.7723 0.2277
Rb 0.7500 0.7500 0.7500
```

***

Compound: RbSbF3
Source: the Alexandria database
Functional: PBE-GGA
Structure: optimized geometry Values from VASP.

Results
The calculation puts the offset from the most stable computed form at 0.000 eV per atom. Its space group is No. 12.

Structure (Quantum ESPRESSO input):
```
&SYSTEM
  ibrav = 0, nat = 10, ntyp = 3
/
ATOMIC_SPECIES
F 19.00 F.upf
Rb 85.47 Rb.upf
Sb 121.76 Sb.upf
CELL_PARAMETERS angstrom
-7.8529 1.5014 -2.1276
-7.1034 -1.6769 3.8959
-1.4827 3.8204 2.2003
ATOMIC_POSITIONS crystal
F 0.2314 0.7686 0.5000
Rb 0.3414 0.3414 0.7208
F 0.3729 0.9350 0.8392
Rb 0.6586 0.6586 0.2792
F 0.6271 0.0650 0.1608
F 0.7686 0.2314 0.5000
Sb 0.0839 0.0839 0.6927
F 0.9350 0.3729 0.8392
Sb 0.9161 0.9161 0.3073
F 0.0650 0.6271 0.1608
```

***

Compound: RbSb2F
Source: the Alexandria database
Functional: PBE-GGA
Structure: optimized geometry Values from VASP.

Results
The calculation puts the offset from the most stable computed form at 0.000 eV per atom. Its space group is No. 141.

Structure (Quantum ESPRESSO input):
```
&SYSTEM
  ibrav = 0, nat = 8, ntyp = 3
/
ATOMIC_SPECIES
Sb 121.76 Sb.upf
Rb 85.47 Rb.upf
F 19.00 F.upf
CELL_PARAMETERS angstrom
5.8218 0.0000 0.0000
0.0000 5.8218 0.0000
2.9109 2.9109 8.6515
ATOMIC_POSITIONS crystal
Sb 0.3745 0.6250 0.2500
Sb 0.3750 0.6245 0.7500
Rb 0.0000 0.0000 0.0000
Sb 0.8750 0.6255 0.7500
F 0.2500 0.7500 0.5000
Rb 0.7500 0.2500 0.5000
F 0.5000 0.5000 0.0000
Sb 0.3755 0.1250 0.2500
```

***

Compound: RbSbF4
Source: the Alexandria database
Functional: PBE-GGA
Structure: optimized geometry Values from VASP.

Results
Its space group is No. 15.

Structure (Quantum ESPRESSO input):
```
&SYSTEM
  ibrav = 0, nat = 12, ntyp = 3
/
ATOMIC_SPECIES
F 19.00 F.upf
Rb 85.47 Rb.upf
Sb 121.76 Sb.upf
CELL_PARAMETERS angstrom
-2.8522 1.6355 -4.5252
4.7809 -2.0742 -3.7631
-3.1011 -6.2334 3.1587
ATOMIC_POSITIONS crystal
F 0.5454 0.0548 0.7998
F 0.2544 0.5548 0.7998
F 0.8586 0.8278 0.5918
Rb 0.7621 0.7500 0.0000
Rb 0.2379 0.2500 0.0000
F 0.7456 0.4452 0.2002
F 0.7333 0.3278 0.5918
F 0.4546 0.9452 0.2002
F 0.2667 0.6722 0.4082
F 0.1414 0.1722 0.4082
Sb 0.5000 0.0000 0.5000
Sb 0.0000 0.5000 0.5000
```

***

Compound: RbSbF2
Source: the Alexandria database
Functional: PBE-GGA
Structure: optimized geometry Values from VASP.

Results
The calculation puts the offset from the most stable computed form at 0.463 eV per atom. Its space group is No. 122.

Structure (Quantum ESPRESSO input):
```
&SYSTEM
  ibrav = 0, nat = 8, ntyp = 3
/
ATOMIC_SPECIES
F 19.00 F.upf
Sb 121.76 Sb.upf
Rb 85.47 Rb.upf
CELL_PARAMETERS angstrom
6.9841 0.0000 0.0000
0.0000 6.9841 0.0000
3.4921 3.4921 3.7905
ATOMIC_POSITIONS crystal
F 0.8750 0.9110 0.7500
F 0.0890 0.6250 0.2500
Sb 0.0000 0.0000 0.0000
F 0.6610 0.1250 0.2500
F 0.3750 0.3390 0.7500
Sb 0.7500 0.2500 0.5000
Rb 0.2500 0.7500 0.5000
Rb 0.5000 0.5000 0.0000
```

***

Compound: Rb2SbF8
Source: the Alexandria database
Functional: PBE-GGA
Structure: optimized geometry Values from VASP.

Results
Its space group is No. 12.

Structure (Quantum ESPRESSO input):
```
&SYSTEM
  ibrav = 0, nat = 11, ntyp = 3
/
ATOMIC_SPECIES
Sb 121.76 Sb.upf
F 19.00 F.upf
Rb 85.47 Rb.upf
CELL_PARAMETERS angstrom
-0.9773 -6.7518 0.4581
6.4108 -1.0986 -2.5149
-0.2499 6.4260 6.2242
ATOMIC_POSITIONS crystal
Sb 0.0000 0.0000 0.0000
F 0.8339 0.0562 0.1123
F 0.2592 0.9227 0.2291
F 0.7084 0.5488 0.0975
F 0.2916 0.4512 0.9025
Rb 0.6166 0.6802 0.3603
F 0.7408 0.6936 0.7709
F 0.7408 0.0773 0.7709
F 0.2592 0.3064 0.2291
Rb 0.3834 0.3198 0.6397
F 0.1661 0.9438 0.8877
```

***

Asked for magnetization across the records above, the calculation gives 0.000, 0.000, 0.000, 0.000, 0.000, 0.285, 0.797, 0.000, 0.000, 0.000, 0.000, 1.000 Bohr magnetons per cell in order.
Asked for formation energy (no corrections) across the records above, the calculation gives -2565, -2374, -1134, -2606, -871, -2223, -2548, -2320, -566, -2484, -1506, -2340 meV per atom in order.